1.
CuPdRh3: optimized geometry, PBE.

a = 4.466 Å, b = 4.466 Å, c = 4.466 Å
α = 90.00°, β = 90.00°, γ = 90.00°
Sites, in units of the cell vectors:
Cu 0.000 0.000 0.000
Pd 0.500 0.500 0.500
Rh 0.000 0.000 0.500
Rh 0.000 0.500 0.000
Rh 0.500 0.000 0.000

Properties
relative energy among the computed polymorphs = 0.000 eV per atom

***

2.
La3Tb2PmAs6: optimized geometry, PBE.

a = 7.404 Å, b = 7.404 Å, c = 7.403 Å
α = 99.59°, β = 99.59°, γ = 120.00°
Sites, in units of the cell vectors:
La 0.000 0.000 0.000
La 0.334 0.666 0.000
La 0.666 0.334 0.000
Tb 0.167 0.833 0.500
Tb 0.833 0.167 0.500
Pm 0.500 0.500 0.500
As 0.083 0.420 0.260
As 0.243 0.243 0.740
As 0.420 0.083 0.260
As 0.580 0.917 0.740
As 0.757 0.757 0.260
As 0.917 0.580 0.740

Properties
E_tot = -0.461 Ry per atom

***

3.
Mg2TlBiI: optimized geometry, PBE.

a = 5.586 Å, b = 5.586 Å, c = 7.038 Å
α = 90.00°, β = 90.00°, γ = 90.00°
Sites, in units of the cell vectors:
Mg 0.000 0.500 0.000
Mg 0.500 0.000 0.000
Tl 0.000 0.000 0.500
Bi 0.000 0.000 0.000
I 0.500 0.500 0.500

Properties
E_form (uncorrected) = 0.033 eV/atom

***

4.
CaAcCdCu: optimized geometry, PBE.

a = 5.448 Å, b = 5.448 Å, c = 5.448 Å
α = 60.00°, β = 60.00°, γ = 60.00°
Sites, in units of the cell vectors:
Ca 0.000 0.000 0.000
Ac 0.500 0.500 0.500
Cd 0.250 0.250 0.250
Cu 0.750 0.750 0.750

Properties
E_tot = -0.217 Ry per atom

***

5.
Np2Ga8Ru: optimized geometry, PBE.

a = 4.315 Å, b = 4.315 Å, c = 11.095 Å
α = 90.00°, β = 90.00°, γ = 90.00°
Sites, in units of the cell vectors:
Np 0.000 0.000 0.191
Np 0.000 0.000 0.809
Ga 0.000 0.500 0.000
Ga 0.000 0.500 0.377
Ga 0.000 0.500 0.623
Ga 0.500 0.000 0.000
Ga 0.500 0.000 0.377
Ga 0.500 0.000 0.623
Ga 0.500 0.500 0.192
Ga 0.500 0.500 0.808
Ru 0.000 0.000 0.500

Properties
E_tot = -0.417 Ry per atom

***

Per-record DOS(E_F), states/eV per cell: 13.4, 1.2, 1.6, 3.8, 17.7
Per-record volume, Å³/cell: 89.1, 331.4, 219.6, 114.4, 206.5